First-principles (GGA-PBE) data for Li6Tl2Ag3 after structural relaxation, as listed in Alexandria.

CIF file:
```
data_Li6Tl2Ag3
_chemical_formula_sum 'Li12 Tl4 Ag6'
_symmetry_space_group_name_H-M 'C m m m'
_symmetry_Int_Tables_number 65
_symmetry_space_group_name_Hall '-C 2 2'
_cell_length_a 9.841
_cell_length_b 14.053
_cell_length_c 3.017
_cell_angle_alpha 90.00
_cell_angle_beta 90.00
_cell_angle_gamma 90.00
loop_
_atom_site_label
_atom_site_type_symbol
_atom_site_fract_x
_atom_site_fract_y
_atom_site_fract_z
_atom_site_occupancy
Li1 Li 0.000 0.147 0.000 1
Li2 Li 0.217 0.344 0.000 1
Tl1 Tl 0.178 0.000 0.500 1
Ag1 Ag 0.000 0.311 0.500 1
Ag2 Ag 0.000 0.500 0.000 1
```

Summary:
**E_form**: -0.094 eV/atom
**Total magnetization**: 0.00 μB/atom
**DFT total energy**: -2.35 eV per atom

***

First-principles (GGA-PBE) data for Rb3LiI after structural relaxation, as listed in Alexandria.

CIF file:
```
data_Rb3LiI
_chemical_formula_sum 'Rb3 Li1 I1'
_symmetry_space_group_name_H-M 'P m -3 m'
_symmetry_Int_Tables_number 221
_symmetry_space_group_name_Hall '-P 4 2 3'
_cell_length_a 7.129
_cell_length_b 7.129
_cell_length_c 7.129
_cell_angle_alpha 90.00
_cell_angle_beta 90.00
_cell_angle_gamma 90.00
loop_
_atom_site_label
_atom_site_type_symbol
_atom_site_fract_x
_atom_site_fract_y
_atom_site_fract_z
_atom_site_occupancy
Rb1 Rb 0.000 0.000 0.500 1
Li1 Li 0.500 0.500 0.500 1
I1 I 0.000 0.000 0.000 1
```

Summary:
**Total magnetization**: 0.00 μB/atom
**Formation energy (no corrections)**: -0.4013 eV/atom
**DFT total energy**: -1.67 eV per atom

***

First-principles (GGA-PBE) data for Ac2Pr3NdS6 after structural relaxation, as listed in Alexandria.

CIF file:
```
data_Ac2Pr3NdS6
_chemical_formula_sum 'Ac4 Pr6 Nd2 S12'
_symmetry_space_group_name_H-M 'C 1 2/m 1'
_symmetry_Int_Tables_number 12
_symmetry_space_group_name_Hall '-C 2y'
_cell_length_a 7.215
_cell_length_b 12.523
_cell_length_c 7.216
_cell_angle_alpha 90.00
_cell_angle_beta 109.58
_cell_angle_gamma 90.00
loop_
_atom_site_label
_atom_site_type_symbol
_atom_site_fract_x
_atom_site_fract_y
_atom_site_fract_z
_atom_site_occupancy
Ac1 Ac 0.000 0.166 0.000 1
Pr1 Pr 0.000 0.000 0.500 1
Pr2 Pr 0.000 0.332 0.500 1
Nd1 Nd 0.000 0.500 0.000 1
S1 S 0.240 0.500 0.742 1
S2 S 0.248 0.337 0.256 1
```

Summary:
**Total magnetization**: 0.00 μB/atom
**Formation energy (no corrections)**: -2.0124 eV/atom
**DFT total energy**: -6.35 eV per atom

***

First-principles (GGA-PBE) data for AlFeCl2 after structural relaxation, as listed in Alexandria.

CIF file:
```
data_AlFeCl2
_chemical_formula_sum 'Al2 Fe2 Cl4'
_symmetry_space_group_name_H-M 'C 1 2/m 1'
_symmetry_Int_Tables_number 12
_symmetry_space_group_name_Hall '-C 2y'
_cell_length_a 14.537
_cell_length_b 3.421
_cell_length_c 3.733
_cell_angle_alpha 90.00
_cell_angle_beta 104.75
_cell_angle_gamma 90.00
loop_
_atom_site_label
_atom_site_type_symbol
_atom_site_fract_x
_atom_site_fract_y
_atom_site_fract_z
_atom_site_occupancy
Al1 Al 0.000 0.000 0.000 1
Fe1 Fe 0.000 0.500 0.500 1
Cl1 Cl 0.133 0.000 0.633 1
```

Summary:
**Total magnetization**: 0.71 μB/atom
**Formation energy (no corrections)**: -0.2925 eV/atom
**DFT total energy**: -4.27 eV per atom

***

First-principles (GGA-PBE) data for Ca2PH2O6 after structural relaxation, as listed in Alexandria.

CIF file:
```
data_Ca2PH2O6
_chemical_formula_sum 'Ca6 P3 H6 O18'
_symmetry_space_group_name_H-M 'R -3 m'
_symmetry_Int_Tables_number 166
_symmetry_space_group_name_Hall '-R 3 2"'
_cell_length_a 4.8828
_cell_length_b 4.8828
_cell_length_c 14.2070
_cell_angle_alpha 90.00
_cell_angle_beta 90.00
_cell_angle_gamma 120.00
loop_
_atom_site_label
_atom_site_type_symbol
_atom_site_fract_x
_atom_site_fract_y
_atom_site_fract_z
_atom_site_occupancy
Ca1 Ca 0.0000 0.0000 0.2279 1
P1 P 0.0000 0.0000 0.0000 1
H1 H 0.0000 0.0000 0.4014 1
O1 O 0.0092 0.5046 0.7399 1
```

Summary:
**Total magnetization**: 0.00 μB/atom
**DFT total energy**: -5.93 eV per atom

***

First-principles (GGA-PBE) data for SbAuSCl2 after structural relaxation, as listed in Alexandria.

CIF file:
```
data_SbAuSCl2
_chemical_formula_sum 'Sb1 Au1 S1 Cl2'
_symmetry_space_group_name_H-M 'P 4/m m m'
_symmetry_Int_Tables_number 123
_symmetry_space_group_name_Hall '-P 4 2'
_cell_length_a 5.194
_cell_length_b 5.194
_cell_length_c 5.192
_cell_angle_alpha 90.00
_cell_angle_beta 90.00
_cell_angle_gamma 90.00
loop_
_atom_site_label
_atom_site_type_symbol
_atom_site_fract_x
_atom_site_fract_y
_atom_site_fract_z
_atom_site_occupancy
Sb1 Sb 0.000 0.000 0.000 1
Au1 Au 0.500 0.500 0.500 1
S1 S 0.000 0.000 0.500 1
Cl1 Cl 0.000 0.500 0.000 1
```

Summary:
**Total magnetization**: 0.00 μB/atom
**Formation energy (no corrections)**: 0.1697 eV/atom
**DFT total energy**: -2.87 eV per atom

***

Q: Look up the total magnetization of the third one.
A: 0.00 μB/atom

***

Q: Look up the total magnetization of the first one.
A: 0.00 μB/atom